(1)
DFT (PBE) results for crystalline LaPr2 at its relaxed geometry.

Symmetry: Fd-3m, No. 227
Formation enthalpy at 0 K, kJ per mole of atoms: 20
E above lowest polymorph, eV per formula unit: 0.00
Uncorrected energy, Ha/atom: -0.169

abc: 6.817 6.817 6.817
angles: 60.00 60.00 60.00
Sites, in units of the cell vectors:
La1 0.125 0.125 0.125
La2 0.875 0.875 0.875
Pr1 0.000 0.500 0.500
Pr2 0.500 0.000 0.500
Pr3 0.500 0.500 0.000
Pr4 0.500 0.500 0.500

=====

(2)
DFT (PBE) results for crystalline NaZrHg at its relaxed geometry.

Symmetry: F-43m, No. 216
E above lowest polymorph, eV per formula unit: 0.00
Uncorrected energy, Ha/atom: -0.108

abc: 4.802 4.802 4.802
angles: 60.00 60.00 60.00
Sites, in units of the cell vectors:
Na1 0.000 0.000 0.000
Zr1 0.500 0.500 0.500
Hg1 0.250 0.250 0.250

=====

(3)
DFT (PBE) results for crystalline HoTm2In3CuPt2 at its relaxed geometry.

Symmetry: Amm2, No. 38
Uncorrected energy, Ha/atom: -0.184

abc: 3.680 7.723 7.723
angles: 120.09 90.00 90.00
Sites, in units of the cell vectors:
Ho1 0.000 0.000 0.000
Tm1 0.000 0.411 0.821
Tm2 0.000 0.821 0.411
In1 0.500 0.155 0.411
In2 0.500 0.411 0.155
In3 0.500 0.666 0.666
Cu1 0.000 0.411 0.411
Pt1 0.500 0.078 0.742
Pt2 0.500 0.742 0.078